Entry 1:
The following is a PBE calculation of a relaxed structure of NaZr, from OQMD.

```
data_NaZr
_symmetry_space_group_name_H-M 'P 1'
_symmetry_Int_Tables_number 1
_symmetry_space_group_name_Hall 'P 1'
_cell_length_a 5.2644
_cell_length_b 14.9756
_cell_length_c 5.1681
_cell_angle_alpha 90.00
_cell_angle_beta 90.00
_cell_angle_gamma 90.00
loop_
_atom_site_label
_atom_site_type_symbol
_atom_site_fract_x
_atom_site_fract_y
_atom_site_fract_z
_atom_site_occupancy
Na1 Na 0.9481 0.5002 0.0000 1
Na2 Na 0.4476 0.6154 0.0000 1
Na3 Na 0.4476 0.8846 0.0000 1
Na4 Na 0.9481 0.9998 0.0000 1
Na5 Na 0.3849 0.0002 0.5000 1
Na6 Na 0.8860 0.1154 0.5000 1
Na7 Na 0.8860 0.3846 0.5000 1
Na8 Na 0.3849 0.4998 0.5000 1
Zr1 Zr 0.4496 0.1522 0.0000 1
Zr2 Zr 0.9661 0.2500 0.0000 1
Zr3 Zr 0.4496 0.3478 0.0000 1
Zr4 Zr 0.9627 0.7500 0.0000 1
Zr5 Zr 0.3710 0.2500 0.5000 1
Zr6 Zr 0.8837 0.6522 0.5000 1
Zr7 Zr 0.3671 0.7500 0.5000 1
Zr8 Zr 0.8837 0.8478 0.5000 1
```

Entry 2:
The following is a PBE calculation of a relaxed structure of CuTe4H12C4N, from OQMD.

```
data_CuTe4H12C4N
_symmetry_space_group_name_H-M 'P 1'
_symmetry_Int_Tables_number 1
_symmetry_space_group_name_Hall 'P 1'
_cell_length_a 9.5482
_cell_length_b 11.1668
_cell_length_c 11.9171
_cell_angle_alpha 90.00
_cell_angle_beta 103.39
_cell_angle_gamma 90.00
loop_
_atom_site_label
_atom_site_type_symbol
_atom_site_fract_x
_atom_site_fract_y
_atom_site_fract_z
_atom_site_occupancy
C1 C 0.8828 0.2649 0.0927 1
C2 C 0.9398 0.4757 0.1416 1
C3 C 0.7141 0.3896 0.1666 1
C4 C 0.0567 0.8284 0.2060 1
C5 C 0.9433 0.3284 0.2940 1
C6 C 0.2859 0.8896 0.3334 1
C7 C 0.0602 0.9757 0.3584 1
C8 C 0.1172 0.7649 0.4073 1
C9 C 0.8828 0.2351 0.5927 1
C10 C 0.9398 0.0243 0.6416 1
C11 C 0.7141 0.1104 0.6666 1
C12 C 0.0567 0.6716 0.7060 1
C13 C 0.9433 0.1716 0.7940 1
C14 C 0.2859 0.6104 0.8334 1
C15 C 0.0602 0.5243 0.8584 1
C16 C 0.1172 0.7351 0.9073 1
Cu1 Cu 0.5306 0.9667 0.1100 1
Cu2 Cu 0.4694 0.4667 0.3900 1
Cu3 Cu 0.5306 0.5333 0.6100 1
Cu4 Cu 0.4694 0.0333 0.8900 1
H1 H 0.8249 0.2913 0.0055 1
H2 H 0.8835 0.5017 0.0539 1
H3 H 0.6634 0.4153 0.0776 1
H4 H 0.9974 0.2491 0.0961 1
H5 H 0.8326 0.1850 0.1201 1
H6 H 0.0541 0.4573 0.1464 1
H7 H 0.0660 0.9018 0.1469 1
H8 H 0.1117 0.7482 0.1845 1
H9 H 0.6648 0.3075 0.1905 1
H10 H 0.9427 0.8103 0.2025 1
H11 H 0.9284 0.5466 0.2025 1
H12 H 0.7052 0.4621 0.2266 1
H13 H 0.2948 0.9621 0.2734 1
H14 H 0.0716 0.0466 0.2975 1
H15 H 0.0573 0.3103 0.2975 1
H16 H 0.3352 0.8075 0.3095 1
H17 H 0.8883 0.2482 0.3155 1
H18 H 0.9340 0.4018 0.3531 1
H19 H 0.9459 0.9573 0.3536 1
H20 H 0.1674 0.6850 0.3799 1
H21 H 0.0026 0.7491 0.4039 1
H22 H 0.3366 0.9153 0.4224 1
H23 H 0.1165 0.0017 0.4461 1
H24 H 0.1751 0.7913 0.4945 1
H25 H 0.8249 0.2087 0.5055 1
H26 H 0.8835 0.9983 0.5539 1
H27 H 0.6634 0.0847 0.5776 1
H28 H 0.9974 0.2509 0.5961 1
H29 H 0.8326 0.3150 0.6201 1
H30 H 0.0541 0.0427 0.6464 1
H31 H 0.0660 0.5982 0.6469 1
H32 H 0.1117 0.7518 0.6845 1
H33 H 0.6648 0.1925 0.6905 1
H34 H 0.9427 0.6897 0.7025 1
H35 H 0.9284 0.9534 0.7025 1
H36 H 0.7052 0.0379 0.7266 1
H37 H 0.2948 0.5379 0.7734 1
H38 H 0.0716 0.4534 0.7975 1
H39 H 0.0573 0.1897 0.7975 1
H40 H 0.3352 0.6925 0.8095 1
H41 H 0.8883 0.2518 0.8155 1
H42 H 0.9340 0.0982 0.8531 1
H43 H 0.9459 0.5427 0.8536 1
H44 H 0.1674 0.8150 0.8799 1
H45 H 0.0026 0.7509 0.9039 1
H46 H 0.3366 0.5847 0.9224 1
H47 H 0.1165 0.4983 0.9461 1
H48 H 0.1751 0.7087 0.9945 1
N1 N 0.8704 0.3648 0.1738 1
N2 N 0.1296 0.8648 0.3262 1
N3 N 0.8704 0.1352 0.6738 1
N4 N 0.1296 0.6352 0.8262 1
Te1 Te 0.2764 0.0462 0.0160 1
Te2 Te 0.3259 0.2862 0.0888 1
Te3 Te 0.5751 0.7385 0.1678 1
Te4 Te 0.3651 0.5678 0.1933 1
Te5 Te 0.6349 0.0678 0.3067 1
Te6 Te 0.4249 0.2385 0.3322 1
Te7 Te 0.6741 0.7862 0.4112 1
Te8 Te 0.7236 0.5462 0.4840 1
Te9 Te 0.2764 0.4538 0.5160 1
Te10 Te 0.3259 0.2138 0.5888 1
Te11 Te 0.5751 0.7615 0.6678 1
Te12 Te 0.3651 0.9322 0.6933 1
Te13 Te 0.6349 0.4322 0.8067 1
Te14 Te 0.4249 0.2615 0.8322 1
Te15 Te 0.6741 0.7138 0.9112 1
Te16 Te 0.7236 0.9538 0.9840 1
```

Sequential uncorrected energy output: -71.40; -417.80 eV for the cell shown